1.
{"formula": "PuFeCo2", "functional": "PBE", "state": "relaxed", "rho_g_cm3": 12.7, "m_tot_mub_per_cell": 0.50, "spacegroup": "No. 123", "e_form_ev_per_atom": 0.000, "lattice": [[-1.2508, -3.6130, 0.0203], [1.5682, -0.5238, 3.4033], [-3.2132, 1.1217, 1.6533]], "species": ["Co", "Co", "Fe", "Pu"], "fractional_positions": [[0.0000, 0.0000, 0.5000], [0.0000, 0.5000, 0.0000], [0.5000, 0.5000, 0.5000], [0.5000, 0.0000, 0.0000]]}

2.
{"formula": "CaCdI2O8", "functional": "PBE", "state": "relaxed", "rho_g_cm3": 4.6, "dft_energy_ev_per_atom": -4.54, "m_tot_mub_per_cell": 0.05, "spacegroup": "No. 119", "lattice": [[-3.8041, 5.0112, 0.6766], [-2.2515, -4.5663, -3.7578], [0.7159, -2.5456, 5.7488]], "species": ["O", "O", "O", "O", "O", "O", "O", "O", "I", "I", "Cd", "Ca"], "fractional_positions": [[0.3132, 0.1296, 0.8164], [0.9373, 0.2519, 0.3146], [0.3773, 0.0627, 0.3146], [0.9373, 0.6227, 0.6854], [0.8704, 0.6868, 0.1836], [0.3132, 0.4968, 0.1836], [0.5032, 0.6868, 0.8164], [0.7481, 0.0627, 0.6854], [0.7500, 0.2500, 0.5000], [0.5000, 0.5000, 0.0000], [0.0000, 0.0000, 0.0000], [0.2500, 0.7500, 0.5000]]}

3.
{"formula": "Cs2Hg3Sb2", "functional": "PBE", "state": "relaxed", "rho_g_cm3": 6.6, "dft_energy_ev_per_atom": -1.83, "m_tot_mub_per_cell": 0.00, "spacegroup": "No. 12", "lattice": [[6.2493, 0.0023, 0.0006], [3.1231, 6.5701, 1.3208], [0.0012, -0.3171, 6.7944]], "species": ["Hg", "Hg", "Hg", "Cs", "Cs", "Sb", "Sb"], "fractional_positions": [[0.2574, 0.4853, 0.1583], [0.0000, 0.0000, 0.0000], [0.7426, 0.5147, 0.8417], [0.3856, 0.2284, 0.6899], [0.6144, 0.7716, 0.3101], [0.9131, 0.1734, 0.3417], [0.0869, 0.8266, 0.6583]]}

4.
{"formula": "TbDyMgOs", "functional": "PBE", "state": "relaxed", "rho_g_cm3": 10.0, "m_tot_mub_per_cell": 0.00, "relative_energy_mev_per_atom": 57, "spacegroup": "No. 216", "e_form_ev_per_atom": -0.136, "lattice": [[-2.9679, 3.5162, 1.9662], [-0.2962, 0.5331, 4.9665], [2.0048, 4.0173, 2.2090]], "species": ["Mg", "Os", "Tb", "Dy"], "fractional_positions": [[0.0000, 0.0000, 0.0000], [0.5000, 0.5000, 0.5000], [0.7500, 0.7500, 0.7500], [0.2500, 0.2500, 0.2500]]}

5.
{"formula": "SrMgCo2P", "functional": "PBE", "state": "relaxed", "rho_g_cm3": 3.5, "m_tot_mub_per_cell": 3.05, "spacegroup": "No. 123", "e_form_ev_per_atom": 1.625, "lattice": [[-4.5781, 1.2324, 0.6362], [-1.1201, -1.5164, -5.1231], [-0.9799, -4.4270, 1.5246]], "species": ["Co", "Co", "Mg", "Sr", "P"], "fractional_positions": [[0.5000, 0.0000, 0.0000], [0.0000, 0.0000, 0.5000], [0.5000, 0.5000, 0.5000], [0.0000, 0.0000, 0.0000], [0.0000, 0.5000, 0.0000]]}

6.
{"formula": "RbHgB3", "functional": "PBE", "state": "relaxed", "rho_g_cm3": 5.1, "m_tot_mub_per_cell": 0.00, "relative_energy_mev_per_atom": 0, "spacegroup": "No. 221", "e_form_ev_per_atom": 2.138, "lattice": [[4.7011, 0.0000, 0.0000], [0.0000, 4.7011, 0.0000], [0.0000, 0.0000, 4.7011]], "species": ["Rb", "Hg", "B", "B", "B"], "fractional_positions": [[0.5000, 0.5000, 0.5000], [0.0000, 0.0000, 0.0000], [0.0000, 0.0000, 0.5000], [0.5000, 0.0000, 0.0000], [0.0000, 0.5000, 0.0000]]}

7.
{"formula": "CaVGa2Br", "functional": "PBE", "state": "relaxed", "rho_g_cm3": 3.0, "dft_energy_ev_per_atom": -2.74, "m_tot_mub_per_cell": 0.47, "spacegroup": "No. 123", "lattice": [[5.7206, 0.0000, 0.0000], [0.0000, 5.2526, 0.0000], [0.0000, 0.0000, 5.7206]], "species": ["Ca", "Ga", "Ga", "V", "Br"], "fractional_positions": [[0.0000, 0.0000, 0.0000], [0.0000, 0.0000, 0.5000], [0.5000, 0.0000, 0.0000], [0.5000, 0.5000, 0.5000], [0.0000, 0.5000, 0.0000]]}

8.
{"formula": "B7C3", "functional": "PBE", "state": "relaxed", "rho_g_cm3": 2.7, "m_tot_mub_per_cell": 0.00, "relative_energy_mev_per_atom": 104, "spacegroup": "No. 119", "e_form_ev_per_atom": 0.396, "lattice": [[2.8436, 0.4808, -11.6708], [0.4249, 2.8524, -11.6708], [-0.4714, -0.4808, 12.0030]], "species": ["B", "B", "B", "B", "B", "B", "B", "C", "C", "C"], "fractional_positions": [[0.8057, 0.8057, 0.0000], [0.5839, 0.5839, 0.0000], [0.2500, 0.7500, 0.5000], [0.8605, 0.3605, 0.5000], [0.4161, 0.4161, 0.0000], [0.6395, 0.1395, 0.5000], [0.1943, 0.1943, 0.0000], [0.0379, 0.5379, 0.5000], [0.0000, 0.0000, 0.0000], [0.4621, 0.9621, 0.5000]]}

9.
{"formula": "NaCd2P2", "functional": "PBE", "state": "relaxed", "rho_g_cm3": 4.6, "m_tot_mub_per_cell": 0.00, "relative_energy_mev_per_atom": 159, "spacegroup": "No. 139", "e_form_ev_per_atom": 0.100, "lattice": [[-2.4554, 0.1061, -3.4931], [1.7612, -3.6498, -1.3488], [-4.6824, -4.9543, 0.5297]], "species": ["P", "P", "Cd", "Cd", "Na"], "fractional_positions": [[0.7500, 0.2500, 0.5000], [0.2500, 0.7500, 0.5000], [0.3881, 0.3881, 0.2239], [0.6119, 0.6119, 0.7761], [0.0000, 0.0000, 0.0000]]}

10.
{"formula": "La3SnN", "functional": "PBE", "state": "relaxed", "rho_g_cm3": 5.0, "dft_energy_ev_per_atom": -4.86, "m_tot_mub_per_cell": 0.00, "spacegroup": "No. 119", "lattice": [[-2.8014, -4.6452, 0.5501], [3.8027, -1.8882, 3.4209], [-5.6585, 1.5750, 11.5045]], "species": ["N", "N", "Sn", "Sn", "La", "La", "La", "La", "La", "La"], "fractional_positions": [[0.8464, 0.3464, 0.3071], [0.6536, 0.1536, 0.6929], [0.2500, 0.7500, 0.5000], [0.0000, 0.0000, 0.0000], [0.1216, 0.8804, 0.7568], [0.3077, 0.3077, 0.3847], [0.6923, 0.6923, 0.6153], [0.6371, 0.8784, 0.2432], [0.1196, 0.8784, 0.2432], [0.1216, 0.3629, 0.7568]]}

11.
{"formula": "LiCa4Zn", "functional": "PBE", "state": "relaxed", "rho_g_cm3": 2.0, "m_tot_mub_per_cell": 0.00, "relative_energy_mev_per_atom": 0, "spacegroup": "No. 123", "e_form_ev_per_atom": -0.070, "lattice": [[-0.3225, -0.9552, -3.6920], [-1.4058, -3.4145, 1.0062], [-12.2910, 4.9960, -0.2191]], "species": ["Ca", "Ca", "Ca", "Ca", "Zn", "Li"], "fractional_positions": [[0.5000, 0.5000, 0.8470], [0.0000, 0.0000, 0.6323], [0.0000, 0.0000, 0.3677], [0.5000, 0.5000, 0.1530], [0.5000, 0.5000, 0.5000], [0.0000, 0.0000, 0.0000]]}

12.
{"formula": "Pu2CoRh", "functional": "PBE", "state": "relaxed", "rho_g_cm3": 16.3, "m_tot_mub_per_cell": 0.00, "spacegroup": "No. 69", "e_form_ev_per_atom": 0.057, "lattice": [[-0.1921, 3.1390, 4.7312], [-4.6240, -0.2233, -3.2956], [-3.2900, -1.7562, 4.2877]], "species": ["Pu", "Pu", "Pu", "Pu", "Co", "Co", "Rh", "Rh"], "fractional_positions": [[0.5000, 0.1836, 0.6835], [0.0568, 0.7785, 0.7215], [0.9432, 0.2215, 0.2785], [0.5000, 0.8164, 0.3165], [0.5000, 0.6615, 0.8385], [0.5000, 0.3385, 0.1615], [0.0000, 0.7499, 0.2499], [0.0000, 0.2501, 0.7501]]}